Compound: Na2TaHgS
Source: Alexandria via LeMat-Bulk
Functional: PBE-GGA
Structure: relaxed

Structure (CIF):
```
data_Na2TaHgS
_chemical_formula_sum 'Na2 Ta1 Hg1 S1'
_symmetry_space_group_name_H-M 'P 1'
_symmetry_Int_Tables_number 1
_symmetry_space_group_name_Hall 'P 1'
_cell_length_a 5.5734
_cell_length_b 5.5734
_cell_length_c 4.9740
_cell_angle_alpha 90.00
_cell_angle_beta 90.00
_cell_angle_gamma 90.00
loop_
_atom_site_label
_atom_site_type_symbol
_atom_site_fract_x
_atom_site_fract_y
_atom_site_fract_z
Na1 Na 0.0000 0.5000 0.0000
Na2 Na 0.5000 0.0000 0.0000
Ta1 Ta 0.0000 0.0000 0.5000
Hg1 Hg 0.5000 0.5000 0.0000
S1 S 0.5000 0.5000 0.5000
```

Computed properties:
- energy relative to the elements, uncorrected (meV/atom) = 1178
- density (Mg/m³) = 4.94
- final energy (eV for the cell shown) = -13.03